AcNpAsO2 | PBE | relaxed

Values from the calculation:
Formation energy without anion corrections (meV per atom): -2362.9
Total DFT energy (no corrections) (eV per atom): -8.69

a = 3.937 Å, b = 3.937 Å, c = 6.961 Å
α = 106.43°, β = 106.43°, γ = 90.00°
Fractional coordinates of all 5 atoms:
Np 0.152 0.152 0.304
As 0.511 0.511 0.021
Ac 0.861 0.861 0.722
O 0.738 0.238 0.477
O 0.238 0.738 0.477